Entry 1:
First-principles (GGA-PBE) data for crystalline ThSn2Rh6 at its relaxed geometry, as listed in Alexandria.

abc: 5.518 5.518 6.917
angles: 90.00 90.00 120.00
Positions (direct):
Th1 0.000 0.000 0.000
Sn1 0.333 0.667 0.500
Sn2 0.667 0.333 0.500
Rh1 0.000 0.500 0.191
Rh2 0.000 0.500 0.809
Rh3 0.500 0.000 0.191
Rh4 0.500 0.000 0.809
Rh5 0.500 0.500 0.191
Rh6 0.500 0.500 0.809

Output
Its formation enthalpy at 0 K is -0.3124 eV per atom. The calculated volume comes out at 182.4 Å³ per cell. The value obtained for the mass density is 9.895 g cm⁻³. As for the density of states at the Fermi level: 9.42 states/eV/cell.

Entry 2:
First-principles (GGA-PBE) data for crystalline ErTlPbF6 at its relaxed geometry, as listed in Alexandria.

abc: 5.686 5.686 11.548
angles: 90.00 90.00 90.00
Positions (direct):
Er1 0.000 0.000 0.000
Er2 0.500 0.500 0.500
Tl1 0.000 0.000 0.666
Tl2 0.500 0.500 0.166
Pb1 0.000 0.000 0.337
Pb2 0.500 0.500 0.837
F1 0.167 0.167 0.149
F2 0.197 0.197 0.871
F3 0.230 0.230 0.480
F4 0.270 0.730 0.980
F5 0.303 0.697 0.371
F6 0.333 0.667 0.649
F7 0.667 0.333 0.649
F8 0.697 0.303 0.371
F9 0.730 0.270 0.980
F10 0.770 0.770 0.480
F11 0.803 0.803 0.871
F12 0.833 0.833 0.149

Output
The calculated volume comes out at 373.3 Å³ per cell. The value obtained for the mass density is 6.163 g cm⁻³. The total energy is -98.0 eV per cell. As for the density of states at the Fermi level: 0.00 states/eV/cell.

Entry 3:
First-principles (GGA-PBE) data for crystalline LiGaPtI2 at its relaxed geometry, as listed in Alexandria.

abc: 5.617 5.617 4.691
angles: 90.00 90.00 90.00
Positions (direct):
Li1 0.000 0.000 0.000
Ga1 0.500 0.500 0.000
Pt1 0.000 0.000 0.500
I1 0.000 0.500 0.500
I2 0.500 0.000 0.500

Output
The calculated volume comes out at 148.0 Å³ per cell. The value obtained for the mass density is 5.898 g cm⁻³. The total energy is -14.8 eV per cell. As for the density of states at the Fermi level: 0.92 states/eV/cell.

Entry 4:
First-principles (GGA-PBE) data for crystalline GaH2I2 at its relaxed geometry, as listed in Alexandria.

abc: 9.992 9.992 9.992
angles: 149.56 142.54 49.01
Positions (direct):
Ga1 0.329 0.079 0.250
Ga2 0.671 0.921 0.750
H1 0.033 0.725 0.309
H2 0.084 0.275 0.809
H3 0.916 0.725 0.191
H4 0.967 0.275 0.691
I1 0.181 0.931 0.250
I2 0.379 0.629 0.750
I3 0.621 0.371 0.250
I4 0.819 0.069 0.750

Output
The calculated volume comes out at 306.1 Å³ per cell. The value obtained for the mass density is 3.532 g cm⁻³. The energy relative to the lowest polymorph listed for this composition is 0.0 meV per atom. As for the density of states at the Fermi level: 1.11 states/eV/cell.

Entry 5:
First-principles (GGA-PBE) data for crystalline Y2ScPdC at its relaxed geometry, as listed in Alexandria.

abc: 4.900 4.900 4.405
angles: 90.00 90.00 90.00
Positions (direct):
Y1 0.000 0.500 0.000
Y2 0.500 0.000 0.000
Sc1 0.000 0.000 0.500
Pd1 0.500 0.500 0.500
C1 0.000 0.000 0.000

Output
Its formation enthalpy at 0 K is -0.4406 eV per atom. The calculated volume comes out at 105.8 Å³ per cell. The value obtained for the mass density is 5.356 g cm⁻³. As for the density of states at the Fermi level: 5.82 states/eV/cell.

Entry 6:
First-principles (GGA-PBE) data for crystalline Ho3ScTe2 at its relaxed geometry, as listed in Alexandria.

abc: 8.467 8.467 11.975
angles: 116.36 116.36 27.27
Positions (direct):
Ho1 0.054 0.054 0.217
Ho2 0.248 0.248 0.649
Ho3 0.382 0.382 0.976
Ho4 0.618 0.618 0.024
Ho5 0.752 0.752 0.351
Ho6 0.946 0.946 0.783
Sc1 0.418 0.418 0.333
Sc2 0.582 0.582 0.667
Te1 0.163 0.163 0.855
Te2 0.390 0.390 0.551
Te3 0.610 0.610 0.449
Te4 0.837 0.837 0.145

Output
The calculated volume comes out at 349.9 Å³ per cell. The value obtained for the mass density is 7.545 g cm⁻³. The total energy is -61.3 eV per cell. As for the density of states at the Fermi level: 12.24 states/eV/cell.